The following is a DFT calculation (GGA-PBE) of a relaxed structure of Cr2InAg.

Computed properties:
- SG = P4mm, No. 99
- volume (A^3/atom) = 16.59
- DFT formation energy (eV/atom) = 0.247
- DFT total energy (eV/atom) = -5.96

Cell lengths 3.0924, 3.0924, 6.9379 Å; angles 90.00, 90.00, 89.97 degrees
Site moments in Bohr magnetons follow the coordinates.
Fractional coordinates of all 4 atoms:
Ag1 0.5000 0.5000 0.7750  0.03
Cr1 0.0000 0.0000 0.0443  2.43
Cr2 0.5000 0.5000 0.2021  -2.10
In1 0.0000 0.0000 0.4787  0.03

The following is a DFT calculation (GGA-PBE) of a relaxed structure of LaCF2.

Computed properties:
- SG = Fm-3m, No. 225
- volume (A^3/atom) = 13.94
- formation energy from raw total energies (eV per atom) = -1.424
- energy relative to the lowest polymorph listed for this composition (eV per atom) = 0.000
- DFT total energy (eV/atom) = -5.90

Cell lengths 4.2899, 4.2899, 4.2899 Å; angles 59.95, 59.95, 59.95 degrees
Site moments in Bohr magnetons follow the coordinates.
Fractional coordinates of all 4 atoms:
C1 0.5000 0.5000 0.5000  1.17
F1 0.7499 0.7499 0.7499  0.11
F2 0.2501 0.2501 0.2501  0.11
La1 0.0000 0.0000 0.0000  0.25

The following is a DFT calculation (GGA-PBE) of a relaxed structure of GdYFeCu.

Computed properties:
- SG = F-43m, No. 216
- volume (A^3/atom) = 20.36
- DFT formation energy (eV/atom) = 0.001
- DFT total energy (eV/atom) = -8.27

Cell lengths 4.8654, 4.8654, 4.8654 Å; angles 60.00, 60.00, 60.00 degrees
Site moments in Bohr magnetons follow the coordinates.
Fractional coordinates of all 4 atoms:
Y1 0.7500 0.7500 0.7500  0.22
Gd1 0.2500 0.2500 0.2500  7.25
Fe1 0.5000 0.5000 0.5000  -1.69
Cu1 0.0000 0.0000 0.0000  0.02

The following is a DFT calculation (GGA-PBE) of a relaxed structure of TaV2C2.

Computed properties:
- SG = R-3m, No. 166
- volume (A^3/atom) = 11.24
- DFT formation energy (eV/atom) = -0.497
- DFT total energy (eV/atom) = -10.20

Cell lengths 3.0375, 3.0375, 7.2490 Å; angles 77.91, 77.91, 60.00 degrees
Fractional coordinates of all 5 atoms:
Ta1 0.0000 0.0000 0.0000
V1 0.2195 0.2195 0.3415
V2 0.7805 0.7805 0.6585
C1 0.6016 0.6016 0.1952
C2 0.3984 0.3984 0.8048

The following is a DFT calculation (GGA-PBE) of a relaxed structure of CaSmN.

Computed properties:
- SG = F-43m, No. 216
- volume (A^3/atom) = 18.76
- formation energy from raw total energies (eV per atom) = -0.277
- energy relative to the lowest polymorph listed for this composition (eV per atom) = 0.553
- DFT total energy (eV/atom) = -5.29

Cell lengths 4.3014, 4.3014, 4.3014 Å; angles 60.00, 60.00, 60.00 degrees
Fractional coordinates of all 3 atoms:
Ca1 0.0000 0.0000 0.0000
Sm1 0.5000 0.5000 0.5000
N1 0.2500 0.2500 0.2500

The following is a DFT calculation (GGA-PBE) of a relaxed structure of CrNi2Ir.

Computed properties:
- SG = R-3m, No. 166
- volume (A^3/atom) = 12.25
- DFT formation energy (eV/atom) = 0.124
- DFT total energy (eV/atom) = -7.39

Cell lengths 8.5437, 8.5437, 8.5437 Å; angles 17.46, 17.46, 17.46 degrees
Site moments in Bohr magnetons follow the coordinates.
Fractional coordinates of all 4 atoms:
Cr1 0.2500 0.2500 0.2500  0.13
Ir1 0.7500 0.7500 0.7500  0.15
Ni1 0.9959 0.9959 0.9959  0.27
Ni2 0.5041 0.5041 0.5041  0.27